[1]
# Pu2Si4Pt5, relaxed, DFT GGA-PBE
# Uncorrected formation energy, eV/atom: -0.697
# Crystal system: orthorhombic
# Final energy, eV/atom: -8.021
data_Pu2Si4Pt5
_chemical_formula_sum 'Pu8 Si16 Pt20'
_space_group_name_H-M_alt 'F m m m'
_space_group_IT_number 69
_space_group_name_Hall '-F 2 2'
_cell_length_a 5.472
_cell_length_b 9.743
_cell_length_c 14.885
_cell_angle_alpha 90.00
_cell_angle_beta 90.00
_cell_angle_gamma 90.00
loop_
_atom_site_label
_atom_site_type_symbol
_atom_site_fract_x
_atom_site_fract_y
_atom_site_fract_z
Pu1 Pu 0.000 0.000 0.135
Si1 Si 0.000 0.152 0.369
Pt1 Pt 0.000 0.000 0.500
Pt2 Pt 0.250 0.250 0.000
Pt3 Pt 0.250 0.250 0.250

---

[2]
# Hf3Nb5N12, relaxed, DFT GGA-PBE
# Uncorrected formation energy, eV/atom: -0.914
# Crystal system: cubic
# Final energy, eV/atom: -9.920
data_Hf3Nb5N12
_chemical_formula_sum 'Hf24 Nb40 N96'
_space_group_name_H-M_alt 'I a -3 d'
_space_group_IT_number 230
_space_group_name_Hall '-I 4bd 2c 3'
_cell_length_a 12.572
_cell_length_b 12.572
_cell_length_c 12.572
_cell_angle_alpha 90.00
_cell_angle_beta 90.00
_cell_angle_gamma 90.00
loop_
_atom_site_label
_atom_site_type_symbol
_atom_site_fract_x
_atom_site_fract_y
_atom_site_fract_z
Hf1 Hf 0.000 0.250 0.125
Nb1 Nb 0.000 0.000 0.000
Nb2 Nb 0.000 0.250 0.375
N1 N 0.026 0.066 0.652

---

[3]
# Ac12ErRu7, relaxed, DFT GGA-PBE
# Crystal system: trigonal
# Final energy, eV/atom: -6.091
# Energy of formation, eV per formula unit: -3.0
data_Ac12ErRu7
_chemical_formula_sum 'Ac36 Er3 Ru21'
_space_group_name_H-M_alt 'R -3'
_space_group_IT_number 148
_space_group_name_Hall '-R 3'
_cell_length_a 15.1227
_cell_length_b 15.1227
_cell_length_c 10.2293
_cell_angle_alpha 90.00
_cell_angle_beta 90.00
_cell_angle_gamma 120.00
loop_
_atom_site_label
_atom_site_type_symbol
_atom_site_fract_x
_atom_site_fract_y
_atom_site_fract_z
Ac1 Ac 0.0207 0.4372 0.1586
Ac2 Ac 0.0483 0.8776 0.8233
Er1 Er 0.0000 0.0000 0.5000
Ru1 Ru 0.0000 0.0000 0.0000
Ru2 Ru 0.0395 0.8552 0.3448

---

[4]
# CrGaCu2As, relaxed, DFT GGA-PBE
# Crystal system: tetragonal
# Final energy, eV/atom: -4.626
# Energy of formation, eV per formula unit: 2.4
data_CrGaCu2As
_chemical_formula_sum 'Cr1 Ga1 Cu2 As1'
_space_group_name_H-M_alt 'P 4/m m m'
_space_group_IT_number 123
_space_group_name_Hall '-P 4 2'
_cell_length_a 4.522
_cell_length_b 4.522
_cell_length_c 4.821
_cell_angle_alpha 90.00
_cell_angle_beta 90.00
_cell_angle_gamma 90.00
loop_
_atom_site_label
_atom_site_type_symbol
_atom_site_fract_x
_atom_site_fract_y
_atom_site_fract_z
Cr1 Cr 0.000 0.000 0.000
Ga1 Ga 0.500 0.500 0.000
Cu1 Cu 0.000 0.500 0.500
As1 As 0.000 0.000 0.500

---

[5]
# TbSmTm3Sc, relaxed, DFT GGA-PBE
# Crystal system: orthorhombic
# Final energy, eV/atom: -4.811
# Energy of formation, eV per formula unit: 0.2
data_TbSmTm3Sc
_chemical_formula_sum 'Tb4 Sm4 Tm12 Sc4'
_space_group_name_H-M_alt 'C m c m'
_space_group_IT_number 63
_space_group_name_Hall '-C 2c 2'
_cell_length_a 4.930
_cell_length_b 14.789
_cell_length_c 9.865
_cell_angle_alpha 90.00
_cell_angle_beta 90.00
_cell_angle_gamma 90.00
loop_
_atom_site_label
_atom_site_type_symbol
_atom_site_fract_x
_atom_site_fract_y
_atom_site_fract_z
Tb1 Tb 0.000 0.000 0.000
Sm1 Sm 0.000 0.498 0.250
Tm1 Tm 0.000 0.170 0.250
Tm2 Tm 0.000 0.332 0.000
Sc1 Sc 0.000 0.168 0.750

---

[6]
# Pm8SiTe4S3, relaxed, DFT GGA-PBE
# Uncorrected formation energy, eV/atom: -1.606
# Crystal system: trigonal
# Final energy, eV/atom: -5.880
data_Pm8SiTe4S3
_chemical_formula_sum 'Pm24 Si3 Te12 S9'
_space_group_name_H-M_alt 'R -3 m'
_space_group_IT_number 166
_space_group_name_Hall '-R 3 2"'
_cell_length_a 8.4249
_cell_length_b 8.4249
_cell_length_c 21.6786
_cell_angle_alpha 90.00
_cell_angle_beta 90.00
_cell_angle_gamma 120.00
loop_
_atom_site_label
_atom_site_type_symbol
_atom_site_fract_x
_atom_site_fract_y
_atom_site_fract_z
Pm1 Pm 0.0000 0.0000 0.2360
Pm2 Pm 0.0006 0.5003 0.2375
Si1 Si 0.0000 0.0000 0.5000
Te1 Te 0.0000 0.0000 0.0000
Te2 Te 0.0000 0.5000 0.0000
S1 S 0.0000 0.5000 0.5000

---

[7]
# NdDy4Bi2, relaxed, DFT GGA-PBE
# Crystal system: monoclinic
# Final energy, eV/atom: -4.816
# Energy of formation, eV per formula unit: -2.8
data_NdDy4Bi2
_chemical_formula_sum 'Nd2 Dy8 Bi4'
_space_group_name_H-M_alt 'P 1 21/m 1'
_space_group_IT_number 11
_cell_length_a 8.079
_cell_length_b 6.579
_cell_length_c 8.938
_cell_angle_alpha 90.00
_cell_angle_beta 114.01
_cell_angle_gamma 90.00
loop_
_space_group_symop_operation_xyz
'x,y,z'
'-x,-y,-z'
'-x,y+1/2,-z'
'x,-y+1/2,z'
loop_
_atom_site_label
_atom_site_type_symbol
_atom_site_fract_x
_atom_site_fract_y
_atom_site_fract_z
Nd1 Nd 0.102 0.250 0.357
Dy1 Dy 0.195 0.750 0.082
Dy2 Dy 0.339 0.005 0.787
Dy3 Dy 0.463 0.750 0.510
Bi1 Bi 0.050 0.750 0.368
Bi2 Bi 0.271 0.250 0.083

---

[8]
# BaCaSi4, relaxed, DFT GGA-PBE
# Uncorrected formation energy, eV/atom: -0.299
# Crystal system: orthorhombic
# Final energy, eV/atom: -4.568
data_BaCaSi4
_chemical_formula_sum 'Ba4 Ca4 Si16'
_space_group_name_H-M_alt 'P b a m'
_space_group_IT_number 55
_cell_length_a 7.888
_cell_length_b 15.635
_cell_length_c 4.671
_cell_angle_alpha 90.00
_cell_angle_beta 90.00
_cell_angle_gamma 90.00
loop_
_space_group_symop_operation_xyz
'x,y,z'
'-x,-y,-z'
'-x,-y,z'
'x,y,-z'
'x+1/2,-y+1/2,-z'
'-x+1/2,y+1/2,z'
'-x+1/2,y+1/2,-z'
'x+1/2,-y+1/2,z'
loop_
_atom_site_label
_atom_site_type_symbol
_atom_site_fract_x
_atom_site_fract_y
_atom_site_fract_z
Ba1 Ba 0.119 0.151 0.000
Ca1 Ca 0.127 0.412 0.000
Si1 Si 0.038 0.693 0.500
Si2 Si 0.124 0.544 0.500
Si3 Si 0.126 0.956 0.500
Si4 Si 0.233 0.809 0.500

---

[9]
# YSc3, relaxed, DFT GGA-PBE
# Crystal system: orthorhombic
# Final energy, eV/atom: -6.136
# Energy of formation, eV per formula unit: 0.9
data_YSc3
_chemical_formula_sum 'Y4 Sc12'
_space_group_name_H-M_alt 'C m c m'
_space_group_IT_number 63
_space_group_name_Hall '-C 2c 2'
_cell_length_a 8.808
_cell_length_b 9.092
_cell_length_c 5.531
_cell_angle_alpha 90.00
_cell_angle_beta 90.00
_cell_angle_gamma 90.00
loop_
_atom_site_label
_atom_site_type_symbol
_atom_site_fract_x
_atom_site_fract_y
_atom_site_fract_z
Y1 Y 0.000 0.083 0.250
Sc1 Sc 0.000 0.414 0.250
Sc2 Sc 0.163 0.258 0.750

---

[10]
# CeSm3Ho2Er6, relaxed, DFT GGA-PBE
# Crystal system: monoclinic
# Final energy, eV/atom: -4.684
# Energy of formation, eV per formula unit: 0.4
data_CeSm3Ho2Er6
_chemical_formula_sum 'Ce2 Sm6 Ho4 Er12'
_space_group_name_H-M_alt 'C 1 2/m 1'
_space_group_IT_number 12
_cell_length_a 6.143
_cell_length_b 10.636
_cell_length_c 11.702
_cell_angle_alpha 90.00
_cell_angle_beta 100.07
_cell_angle_gamma 90.00
loop_
_space_group_symop_operation_xyz
'x,y,z'
'-x,-y,-z'
'-x,y,-z'
'x,-y,z'
'x+1/2,y+1/2,z'
'-x+1/2,-y+1/2,-z'
'-x+1/2,y+1/2,-z'
'x+1/2,-y+1/2,z'
loop_
_atom_site_label
_atom_site_type_symbol
_atom_site_fract_x
_atom_site_fract_y
_atom_site_fract_z
Ce1 Ce 0.000 0.000 0.000
Sm1 Sm 0.000 0.168 0.500
Sm2 Sm 0.000 0.500 0.500
Ho1 Ho 0.000 0.333 0.000
Er1 Er 0.248 0.000 0.752
Er2 Er 0.248 0.166 0.248

---

[11]
# Sm2SBr2, relaxed, DFT GGA-PBE
# Uncorrected formation energy, eV/atom: -1.891
# Crystal system: monoclinic
# Final energy, eV/atom: -5.273
data_Sm2SBr2
_chemical_formula_sum 'Sm4 S2 Br4'
_space_group_name_H-M_alt 'C 1 2/m 1'
_space_group_IT_number 12
_cell_length_a 7.044
_cell_length_b 4.067
_cell_length_c 11.288
_cell_angle_alpha 90.00
_cell_angle_beta 103.27
_cell_angle_gamma 90.00
loop_
_space_group_symop_operation_xyz
'x,y,z'
'-x,-y,-z'
'-x,y,-z'
'x,-y,z'
'x+1/2,y+1/2,z'
'-x+1/2,-y+1/2,-z'
'-x+1/2,y+1/2,-z'
'x+1/2,-y+1/2,z'
loop_
_atom_site_label
_atom_site_type_symbol
_atom_site_fract_x
_atom_site_fract_y
_atom_site_fract_z
Sm1 Sm 0.216 0.000 0.135
S1 S 0.000 0.500 0.000
Br1 Br 0.054 0.000 0.695

---

[12]
# MnTl2Ir, relaxed, DFT GGA-PBE
# Crystal system: cubic
# Final energy, eV/atom: -5.093
# Energy of formation, eV per formula unit: 2.4
data_MnTl2Ir
_chemical_formula_sum 'Mn4 Tl8 Ir4'
_space_group_name_H-M_alt 'F -4 3 m'
_space_group_IT_number 216
_space_group_name_Hall 'F -4 2 3'
_cell_length_a 6.841
_cell_length_b 6.841
_cell_length_c 6.841
_cell_angle_alpha 90.00
_cell_angle_beta 90.00
_cell_angle_gamma 90.00
loop_
_atom_site_label
_atom_site_type_symbol
_atom_site_fract_x
_atom_site_fract_y
_atom_site_fract_z
Mn1 Mn 0.000 0.000 0.000
Tl1 Tl 0.000 0.000 0.500
Tl2 Tl 0.250 0.250 0.250
Ir1 Ir 0.250 0.250 0.750